The following is a PBEsol calculation of a geometry-optimized BaAlSi2Se structure, from Alexandria via LeMat-Bulk.

Values from the calculation:
Space-group type = P4/mmm, No. 123
DFT total energy = -2.930 eV per atom
DOS at the Fermi energy = 4.86 states/eV/cell
E_form (uncorrected) = 1.387 eV per atom

Cell: 5.6877 5.6877 5.8434 Å, 90.00 90.00 90.00°
Element x y z (fractional)
Ba (0.0000, 0.0000, 0.0000)
Al (0.5000, 0.5000, 0.5000)
Si (0.0000, 0.5000, 0.0000)
Si (0.5000, 0.0000, 0.0000)
Se (0.0000, 0.0000, 0.5000)